Material: Sr2SnSb3Pd4
Method: DFT, PBE
State: relaxed

Properties
- Symmetry: P-4m2, No. 115
- VASP energy: -4.825 eV per atom
- E_form (uncorrected): -0.77 eV per atom
- Calculated volume: 23.80 Å³ per atom

Cell and atoms, written as POSCAR:
```
Sr2SnSb3Pd4
1.0
4.665 0.000 0.000
0.000 4.665 0.000
0.000 0.000 10.935
Sr Sn Sb Pd
2 1 3 4
Direct
0.000 0.500 0.240
0.500 0.000 0.760
0.000 0.000 0.500
0.000 0.500 0.874
0.500 0.000 0.126
0.500 0.500 0.500
0.000 0.000 0.000
0.000 0.500 0.631
0.500 0.000 0.369
0.500 0.500 0.000
```